Here is Li2CaAu2 at its PBEsol-relaxed geometry from the Alexandria database. Energies are from SCAN.

The structure in CIF format:
```
data_Li2CaAu2
_space_group_name_H-M_alt 'I 4/m m m'
_space_group_IT_number 139
_space_group_name_Hall '-I 4 2'
_cell_length_a 3.9514
_cell_length_b 3.9514
_cell_length_c 12.6222
_cell_angle_alpha 90.00
_cell_angle_beta 90.00
_cell_angle_gamma 90.00
loop_
_atom_site_label
_atom_site_type_symbol
_atom_site_fract_x
_atom_site_fract_y
_atom_site_fract_z
Li1 Li 0.0000 0.5000 0.2500
Ca1 Ca 0.0000 0.0000 0.0000
Au1 Au 0.0000 0.0000 0.3915
```

Calculated values
Energy ... -312.7 eV per cell
Formation energy ... -723 meV/atom
Spin magnetization ... 0.00 μB per atom